No. 1
# NaMoPt2W, single point on PBEsol structure, DFT meta-GGA SCAN
# Formation energy, meV per atom: 2051.5
# DOS(E_F), states/eV/f.u.: 3.337
# Crystal system: tetragonal
data_NaMoPt2W
_cell_length_a 4.342
_cell_length_b 4.342
_cell_length_c 4.452
_cell_angle_alpha 90.00
_cell_angle_beta 90.00
_cell_angle_gamma 90.00
_symmetry_space_group_name_H-M 'P 4/m m m'
_symmetry_Int_Tables_number 123
_symmetry_space_group_name_Hall '-P 4 2'
loop_
_atom_site_label
_atom_site_fract_x
_atom_site_fract_y
_atom_site_fract_z
Na1 0.000 0.000 0.000
Mo1 0.000 0.000 0.500
Pt1 0.000 0.500 0.000
W1 0.500 0.500 0.500



No. 2
# NaZnMoPt2, single point on PBEsol structure, DFT meta-GGA SCAN
# Formation energy, meV per atom: 1442.5
# DOS(E_F), states/eV/f.u.: 2.116
# Crystal system: tetragonal
data_NaZnMoPt2
_cell_length_a 4.548
_cell_length_b 4.548
_cell_length_c 4.271
_cell_angle_alpha 90.00
_cell_angle_beta 90.00
_cell_angle_gamma 90.00
_symmetry_space_group_name_H-M 'P 4/m m m'
_symmetry_Int_Tables_number 123
_symmetry_space_group_name_Hall '-P 4 2'
loop_
_atom_site_label
_atom_site_fract_x
_atom_site_fract_y
_atom_site_fract_z
Na1 0.000 0.000 0.000
Zn1 0.000 0.000 0.500
Mo1 0.500 0.500 0.500
Pt1 0.000 0.500 0.000



No. 3
# RbNaMo2, single point on PBEsol structure, DFT meta-GGA SCAN
# Formation energy, meV per atom: 2298.4
# DOS(E_F), states/eV/f.u.: 2.844
# Crystal system: cubic
data_RbNaMo2
_cell_length_a 7.357
_cell_length_b 7.357
_cell_length_c 7.357
_cell_angle_alpha 90.00
_cell_angle_beta 90.00
_cell_angle_gamma 90.00
_symmetry_space_group_name_H-M 'F m -3 m'
_symmetry_Int_Tables_number 225
_symmetry_space_group_name_Hall '-F 4 2 3'
loop_
_atom_site_label
_atom_site_fract_x
_atom_site_fract_y
_atom_site_fract_z
Rb1 0.000 0.000 0.000
Na1 0.000 0.000 0.500
Mo1 0.250 0.250 0.250



No. 4
# NaMoRh3, single point on PBEsol structure, DFT meta-GGA SCAN
# Formation energy, meV per atom: 839.2
# DOS(E_F), states/eV/f.u.: 2.559
# Crystal system: cubic
data_NaMoRh3
_cell_length_a 4.640
_cell_length_b 4.640
_cell_length_c 4.640
_cell_angle_alpha 90.00
_cell_angle_beta 90.00
_cell_angle_gamma 90.00
_symmetry_space_group_name_H-M 'P m -3 m'
_symmetry_Int_Tables_number 221
_symmetry_space_group_name_Hall '-P 4 2 3'
loop_
_atom_site_label
_atom_site_fract_x
_atom_site_fract_y
_atom_site_fract_z
Na1 0.000 0.000 0.000
Mo1 0.500 0.500 0.500
Rh1 0.000 0.500 0.500



No. 5
# NaMoS2, single point on PBEsol structure, DFT meta-GGA SCAN
# DOS(E_F), states/eV/f.u.: 2.836
# Crystal system: cubic
# VASP energy, eV per atom: -14.911
data_NaMoS2
_cell_length_a 6.159
_cell_length_b 6.159
_cell_length_c 6.159
_cell_angle_alpha 90.00
_cell_angle_beta 90.00
_cell_angle_gamma 90.00
_symmetry_space_group_name_H-M 'F m -3 m'
_symmetry_Int_Tables_number 225
_symmetry_space_group_name_Hall '-F 4 2 3'
loop_
_atom_site_label
_atom_site_fract_x
_atom_site_fract_y
_atom_site_fract_z
Na1 0.000 0.000 0.000
Mo1 0.000 0.000 0.500
S1 0.250 0.250 0.250



No. 6
# NaMo2WS, single point on PBEsol structure, DFT meta-GGA SCAN
# DOS(E_F), states/eV/f.u.: 2.439
# Crystal system: tetragonal
# VASP energy, eV per atom: -29.367
data_NaMo2WS
_cell_length_a 4.864
_cell_length_b 4.864
_cell_length_c 4.683
_cell_angle_alpha 90.00
_cell_angle_beta 90.00
_cell_angle_gamma 90.00
_symmetry_space_group_name_H-M 'P 4/m m m'
_symmetry_Int_Tables_number 123
_symmetry_space_group_name_Hall '-P 4 2'
loop_
_atom_site_label
_atom_site_fract_x
_atom_site_fract_y
_atom_site_fract_z
Na1 0.000 0.000 0.000
Mo1 0.000 0.500 0.500
W1 0.500 0.500 0.500
S1 0.500 0.500 0.000



No. 7
# NaSbMo2, single point on PBEsol structure, DFT meta-GGA SCAN
# DOS(E_F), states/eV/f.u.: 3.205
# Crystal system: tetragonal
# VASP energy, eV per atom: -26.708
data_NaSbMo2
_cell_length_a 7.785
_cell_length_b 7.785
_cell_length_c 5.234
_cell_angle_alpha 90.00
_cell_angle_beta 90.00
_cell_angle_gamma 90.00
_symmetry_space_group_name_H-M 'I -4 2 d'
_symmetry_Int_Tables_number 122
_symmetry_space_group_name_Hall 'I -4 2bw'
loop_
_atom_site_label
_atom_site_fract_x
_atom_site_fract_y
_atom_site_fract_z
Na1 0.000 0.000 0.000
Sb1 0.000 0.000 0.500
Mo1 0.212 0.250 0.625



No. 8
# NaSb2Mo2, single point on PBEsol structure, DFT meta-GGA SCAN
# DOS(E_F), states/eV/f.u.: 2.095
# Crystal system: tetragonal
# VASP energy, eV per atom: -29.510
data_NaSb2Mo2
_cell_length_a 5.039
_cell_length_b 5.039
_cell_length_c 8.971
_cell_angle_alpha 90.00
_cell_angle_beta 90.00
_cell_angle_gamma 90.00
_symmetry_space_group_name_H-M 'I 4/m m m'
_symmetry_Int_Tables_number 139
_symmetry_space_group_name_Hall '-I 4 2'
loop_
_atom_site_label
_atom_site_fract_x
_atom_site_fract_y
_atom_site_fract_z
Na1 0.000 0.000 0.000
Sb1 0.000 0.500 0.250
Mo1 0.000 0.000 0.382



No. 9
# NaSbTe2Mo, single point on PBEsol structure, DFT meta-GGA SCAN
# DOS(E_F), states/eV/f.u.: 4.521
# Crystal system: tetragonal
# VASP energy, eV per atom: -29.996
data_NaSbTe2Mo
_cell_length_a 5.377
_cell_length_b 5.377
_cell_length_c 5.185
_cell_angle_alpha 90.00
_cell_angle_beta 90.00
_cell_angle_gamma 90.00
_symmetry_space_group_name_H-M 'P 4/m m m'
_symmetry_Int_Tables_number 123
_symmetry_space_group_name_Hall '-P 4 2'
loop_
_atom_site_label
_atom_site_fract_x
_atom_site_fract_y
_atom_site_fract_z
Na1 0.000 0.000 0.000
Sb1 0.500 0.500 0.000
Te1 0.000 0.500 0.500
Mo1 0.500 0.500 0.500



No. 10
# NaZrSbMo2, single point on PBEsol structure, DFT meta-GGA SCAN
# DOS(E_F), states/eV/f.u.: 3.940
# Crystal system: tetragonal
# VASP energy, eV per atom: -26.952
data_NaZrSbMo2
_cell_length_a 4.838
_cell_length_b 4.838
_cell_length_c 5.480
_cell_angle_alpha 90.00
_cell_angle_beta 90.00
_cell_angle_gamma 90.00
_symmetry_space_group_name_H-M 'P 4/m m m'
_symmetry_Int_Tables_number 123
_symmetry_space_group_name_Hall '-P 4 2'
loop_
_atom_site_label
_atom_site_fract_x
_atom_site_fract_y
_atom_site_fract_z
Na1 0.000 0.000 0.000
Zr1 0.500 0.500 0.500
Sb1 0.500 0.500 0.000
Mo1 0.000 0.500 0.500



No. 11
# NaScMo2Se, single point on PBEsol structure, DFT meta-GGA SCAN
# DOS(E_F), states/eV/f.u.: 5.271
# Crystal system: tetragonal
# VASP energy, eV per atom: -19.590
data_NaScMo2Se
_cell_length_a 4.521
_cell_length_b 4.521
_cell_length_c 4.883
_cell_angle_alpha 90.00
_cell_angle_beta 90.00
_cell_angle_gamma 90.00
_symmetry_space_group_name_H-M 'P 4/m m m'
_symmetry_Int_Tables_number 123
_symmetry_space_group_name_Hall '-P 4 2'
loop_
_atom_site_label
_atom_site_fract_x
_atom_site_fract_y
_atom_site_fract_z
Na1 0.000 0.000 0.000
Sc1 0.000 0.000 0.500
Mo1 0.000 0.500 0.000
Se1 0.500 0.500 0.500



No. 12
# NaMo3Se3, single point on PBEsol structure, DFT meta-GGA SCAN
# DOS(E_F), states/eV/f.u.: 0.551
# Crystal system: hexagonal
# VASP energy, eV per atom: -24.876
data_NaMo3Se3
_cell_length_a 8.5972
_cell_length_b 8.5972
_cell_length_c 4.4600
_cell_angle_alpha 90.00
_cell_angle_beta 90.00
_cell_angle_gamma 120.00
_symmetry_space_group_name_H-M 'P 63/m'
_symmetry_Int_Tables_number 176
_symmetry_space_group_name_Hall '-P 6c'
loop_
_atom_site_label
_atom_site_fract_x
_atom_site_fract_y
_atom_site_fract_z
Na1 0.3333 0.6667 0.2500
Mo1 0.0436 0.1949 0.2500
Se1 0.0849 0.3844 0.7500



No. 13
# Na2MoSe, single point on PBEsol structure, DFT meta-GGA SCAN
# DOS(E_F), states/eV/f.u.: 1.733
# Crystal system: tetragonal
# VASP energy, eV per atom: -15.517
data_Na2MoSe
_cell_length_a 9.745
_cell_length_b 9.745
_cell_length_c 4.789
_cell_angle_alpha 90.00
_cell_angle_beta 90.00
_cell_angle_gamma 90.00
_symmetry_space_group_name_H-M 'I -4 2 d'
_symmetry_Int_Tables_number 122
_symmetry_space_group_name_Hall 'I -4 2bw'
loop_
_atom_site_label
_atom_site_fract_x
_atom_site_fract_y
_atom_site_fract_z
Na1 0.136 0.250 0.125
Mo1 0.000 0.000 0.500
Se1 0.000 0.000 0.000



No. 14
# NaSi3Mo, single point on PBEsol structure, DFT meta-GGA SCAN
# DOS(E_F), states/eV/f.u.: 2.789
# Crystal system: cubic
# E above lowest polymorph, meV/atom: 1721
data_NaSi3Mo
_cell_length_a 4.658
_cell_length_b 4.658
_cell_length_c 4.658
_cell_angle_alpha 90.00
_cell_angle_beta 90.00
_cell_angle_gamma 90.00
_symmetry_space_group_name_H-M 'P m -3 m'
_symmetry_Int_Tables_number 221
_symmetry_space_group_name_Hall '-P 4 2 3'
loop_
_atom_site_label
_atom_site_fract_x
_atom_site_fract_y
_atom_site_fract_z
Na1 0.000 0.000 0.000
Si1 0.000 0.000 0.500
Mo1 0.500 0.500 0.500



No. 15
# Na3SiMo, single point on PBEsol structure, DFT meta-GGA SCAN
# DOS(E_F), states/eV/f.u.: 2.078
# Crystal system: cubic
# VASP energy, eV per atom: -10.354
data_Na3SiMo
_cell_length_a 5.455
_cell_length_b 5.455
_cell_length_c 5.455
_cell_angle_alpha 90.00
_cell_angle_beta 90.00
_cell_angle_gamma 90.00
_symmetry_space_group_name_H-M 'P m -3 m'
_symmetry_Int_Tables_number 221
_symmetry_space_group_name_Hall '-P 4 2 3'
loop_
_atom_site_label
_atom_site_fract_x
_atom_site_fract_y
_atom_site_fract_z
Na1 0.000 0.000 0.500
Si1 0.000 0.000 0.000
Mo1 0.500 0.500 0.500



No. 16
# NaSi3Mo, single point on PBEsol structure, DFT meta-GGA SCAN
# DOS(E_F), states/eV/f.u.: 1.837
# Crystal system: cubic
# E above lowest polymorph, meV/atom: 0
data_NaSi3Mo
_cell_length_a 4.744
_cell_length_b 4.744
_cell_length_c 4.744
_cell_angle_alpha 90.00
_cell_angle_beta 90.00
_cell_angle_gamma 90.00
_symmetry_space_group_name_H-M 'P m -3 m'
_symmetry_Int_Tables_number 221
_symmetry_space_group_name_Hall '-P 4 2 3'
loop_
_atom_site_label
_atom_site_fract_x
_atom_site_fract_y
_atom_site_fract_z
Na1 0.000 0.000 0.000
Si1 0.000 0.500 0.500
Mo1 0.500 0.500 0.500



No. 17
# NaSnTeMo2, single point on PBEsol structure, DFT meta-GGA SCAN
# DOS(E_F), states/eV/f.u.: 2.562
# Crystal system: tetragonal
# VASP energy, eV per atom: -28.013
data_NaSnTeMo2
_cell_length_a 5.046
_cell_length_b 5.046
_cell_length_c 5.795
_cell_angle_alpha 90.00
_cell_angle_beta 90.00
_cell_angle_gamma 90.00
_symmetry_space_group_name_H-M 'P 4/m m m'
_symmetry_Int_Tables_number 123
_symmetry_space_group_name_Hall '-P 4 2'
loop_
_atom_site_label
_atom_site_fract_x
_atom_site_fract_y
_atom_site_fract_z
Na1 0.000 0.000 0.000
Sn1 0.500 0.500 0.000
Te1 0.500 0.500 0.500
Mo1 0.000 0.500 0.500



No. 18
# NaSrMo2, single point on PBEsol structure, DFT meta-GGA SCAN
# Formation energy, meV per atom: 1741.8
# DOS(E_F), states/eV/f.u.: 2.139
# Crystal system: cubic
data_NaSrMo2
_cell_length_a 7.169
_cell_length_b 7.169
_cell_length_c 7.169
_cell_angle_alpha 90.00
_cell_angle_beta 90.00
_cell_angle_gamma 90.00
_symmetry_space_group_name_H-M 'F m -3 m'
_symmetry_Int_Tables_number 225
_symmetry_space_group_name_Hall '-F 4 2 3'
loop_
_atom_site_label
_atom_site_fract_x
_atom_site_fract_y
_atom_site_fract_z
Na1 0.000 0.000 0.000
Sr1 0.000 0.000 0.500
Mo1 0.250 0.250 0.250



No. 19
# NaSrMo3, single point on PBEsol structure, DFT meta-GGA SCAN
# Formation energy, meV per atom: 2539.9
# DOS(E_F), states/eV/f.u.: 9.154
# Crystal system: cubic
data_NaSrMo3
_cell_length_a 4.767
_cell_length_b 4.767
_cell_length_c 4.767
_cell_angle_alpha 90.00
_cell_angle_beta 90.00
_cell_angle_gamma 90.00
_symmetry_space_group_name_H-M 'P m -3 m'
_symmetry_Int_Tables_number 221
_symmetry_space_group_name_Hall '-P 4 2 3'
loop_
_atom_site_label
_atom_site_fract_x
_atom_site_fract_y
_atom_site_fract_z
Na1 0.000 0.000 0.000
Sr1 0.500 0.500 0.500
Mo1 0.000 0.000 0.500



No. 20
# NaSr2Mo, single point on PBEsol structure, DFT meta-GGA SCAN
# Formation energy, meV per atom: 760.4
# DOS(E_F), states/eV/f.u.: 3.274
# Crystal system: cubic
data_NaSr2Mo
_cell_length_a 8.022
_cell_length_b 8.022
_cell_length_c 8.022
_cell_angle_alpha 90.00
_cell_angle_beta 90.00
_cell_angle_gamma 90.00
_symmetry_space_group_name_H-M 'F m -3 m'
_symmetry_Int_Tables_number 225
_symmetry_space_group_name_Hall '-F 4 2 3'
loop_
_atom_site_label
_atom_site_fract_x
_atom_site_fract_y
_atom_site_fract_z
Na1 0.000 0.000 0.000
Sr1 0.250 0.250 0.250
Mo1 0.000 0.000 0.500